(1)
Material: K2CrOs
Method: DFT, PBE-GGA
State: optimized geometry

Lattice parameters (Å, degrees): 5.4312 5.4312 5.4312 60.00 60.00 60.00
With the nearest neighbours (Å) after each atom.
Fractional positions:
Cr1 0.0000 0.0000 0.0000  8 K 3.33
K1 0.2500 0.2500 0.2500  4 Os 3.33, 4 Cr 3.33
K2 0.7500 0.7500 0.7500  4 Os 3.33, 4 Cr 3.33
Os1 0.5000 0.5000 0.5000  8 K 3.33

Summary:
polymorph energy (0 for the lowest one): 1.248 eV/atom
final energy: -0.13779 Ha/atom
energy of formation from the pure elements: 2012.7 meV/atom
DOS at the Fermi energy: 3.49 states/eV/atom

(2)
Material: KCrOs3
Method: DFT, PBE-GGA
State: optimized geometry

Lattice parameters (Å, degrees): 4.5423 4.5423 4.5423 90.00 90.00 90.00
With the nearest neighbours (Å) after each atom.
Fractional positions:
Cr1 0.5000 0.5000 0.5000  12 Os 3.21
K1 0.0000 0.0000 0.0000  6 Os 2.27
Os1 0.0000 0.5000 0.0000  2 K 2.27
Os2 0.0000 0.0000 0.5000  2 K 2.27
Os3 0.5000 0.0000 0.0000  2 K 2.27

Summary:
polymorph energy (0 for the lowest one): 1.994 eV/atom
final energy: -0.18794 Ha/atom
energy of formation from the pure elements: 3767.8 meV/atom
DOS at the Fermi energy: 1.05 states/eV/atom

(3)
Material: KCr2Os
Method: DFT, PBE-GGA
State: optimized geometry

Lattice parameters (Å, degrees): 6.7372 6.7372 6.7372 35.97 35.97 35.97
With the nearest neighbours (Å) after each atom.
Fractional positions:
Cr1 0.0601 0.0601 0.0601  3 Os 2.44, 3 Cr 2.56
Cr2 0.4399 0.4399 0.4399  3 Os 2.44, 3 Cr 2.56
K1 0.2500 0.2500 0.2500  8 Cr 3.59-3.62, 6 Os 3.96
Os1 0.7500 0.7500 0.7500  6 Cr 2.44

Summary:
polymorph energy (0 for the lowest one): 0.109 eV/atom
final energy: -0.25756 Ha/atom
energy of formation from the pure elements: 884.9 meV/atom
DOS at the Fermi energy: 0.91 states/eV/atom

(4)
Material: KCr2Os
Method: DFT, PBE-GGA
State: optimized geometry

Lattice parameters (Å, degrees): 2.6966 2.6966 9.7659 90.00 90.00 114.16
With the nearest neighbours (Å) after each atom.
Fractional positions:
Cr1 0.0000 0.0000 0.0111  2 Cr 2.26
Cr2 0.5000 0.5000 0.1868  2 Cr 2.26
K1 0.0000 0.0000 0.5034  6 K 2.70-2.93
Os1 0.5000 0.5000 0.7986  2 Cr 2.54, 4 Os 2.70

Summary:
polymorph energy (0 for the lowest one): 0.080 eV/atom
final energy: -0.25861 Ha/atom
energy of formation from the pure elements: 856.2 meV/atom
DOS at the Fermi energy: 1.02 states/eV/atom

(5)
Material: K2CrOs
Method: DFT, PBE-GGA
State: optimized geometry

Lattice parameters (Å, degrees): 12.0450 12.0450 12.0450 13.96 13.96 13.96
With the nearest neighbours (Å) after each atom.
Fractional positions:
Cr1 0.7500 0.7500 0.7500  6 Cr 2.93
K1 0.9949 0.9949 0.9949  6 K 2.93, 3 Os 3.27
K2 0.5051 0.5051 0.5051  6 K 2.93, 3 Os 3.27
Os1 0.2500 0.2500 0.2500  6 Os 2.93, 6 K 3.27

Summary:
polymorph energy (0 for the lowest one): 0.688 eV/atom
final energy: -0.15836 Ha/atom
energy of formation from the pure elements: 1452.9 meV/atom
DOS at the Fermi energy: 0.85 states/eV/atom

(6)
Material: KCr2Os
Method: DFT, PBE-GGA
State: optimized geometry

Lattice parameters (Å, degrees): 6.0215 6.0215 6.0215 150.93 122.84 65.40
With the nearest neighbours (Å) after each atom.
Fractional positions:
Cr1 0.0620 0.0620 0.0000  2 Os 2.43
Cr2 0.4380 0.4380 0.0000  2 Os 2.43
K1 0.7500 0.2500 0.5000  2 K 3.02, 4 Os 3.25
Os1 0.2500 0.7500 0.5000  4 Cr 2.43

Summary:
polymorph energy (0 for the lowest one): 0.531 eV/atom
final energy: -0.24205 Ha/atom
energy of formation from the pure elements: 1307.0 meV/atom
DOS at the Fermi energy: 1.06 states/eV/atom

(7)
Material: KCr2Os
Method: DFT, PBE-GGA
State: optimized geometry

Lattice parameters (Å, degrees): 5.7908 5.7908 5.7908 151.84 127.93 60.24
With the nearest neighbours (Å) after each atom.
Fractional positions:
Cr1 0.0070 0.0070 0.0000  2 Os 2.51, 2 Cr 2.65
Cr2 0.7825 0.2825 0.5000  4 Cr 2.65-2.82
K1 0.4965 0.4965 0.0000  2 K 2.82, 4 Cr 2.91
Os1 0.2140 0.7140 0.5000  2 Cr 2.51

Summary:
polymorph energy (0 for the lowest one): 0.388 eV/atom
final energy: -0.24730 Ha/atom
energy of formation from the pure elements: 1164.2 meV/atom
DOS at the Fermi energy: 0.82 states/eV/atom

(8)
Material: K2CrOs
Method: DFT, PBE-GGA
State: optimized geometry

Lattice parameters (Å, degrees): 4.3273 4.3273 10.0410 87.17 87.17 41.66
With the nearest neighbours (Å) after each atom.
Fractional positions:
Cr1 0.2329 0.2329 0.3460  3 Os 2.39
K1 0.9843 0.9843 0.0896  2 K 3.08, 1 Cr 3.35
K2 0.7672 0.7672 0.6594  2 K 3.08, 1 Os 3.35
Os1 0.5155 0.5155 0.4050  3 Cr 2.39

Summary:
polymorph energy (0 for the lowest one): 0.077 eV/atom
final energy: -0.18082 Ha/atom
energy of formation from the pure elements: 841.6 meV/atom
DOS at the Fermi energy: 0.65 states/eV/atom

(9)
Material: K2CrOs
Method: DFT, PBE-GGA
State: optimized geometry

Lattice parameters (Å, degrees): 5.1277 5.1277 5.1277 60.00 60.00 60.00
With the nearest neighbours (Å) after each atom.
Fractional positions:
Cr1 0.5000 0.5000 0.5000  4 Os 3.14, 4 K 3.14
K1 0.0000 0.0000 0.0000  4 K 3.14, 4 Os 3.14
K2 0.2500 0.2500 0.2500  4 Cr 3.14, 4 K 3.14
Os1 0.7500 0.7500 0.7500  4 Cr 3.14, 4 K 3.14

Summary:
polymorph energy (0 for the lowest one): 0.782 eV/atom
final energy: -0.15491 Ha/atom
energy of formation from the pure elements: 1546.7 meV/atom
DOS at the Fermi energy: 1.22 states/eV/atom

(10)
Material: K2CrOs
Method: DFT, PBE-GGA
State: optimized geometry

Lattice parameters (Å, degrees): 12.5140 12.5140 9.1386 46.79 46.79 90.00
With the nearest neighbours (Å) after each atom.
Fractional positions:
Cr1 0.5000 0.5000 0.0000  2 Os 2.28
Cr2 0.2500 0.7500 0.5000  2 Os 2.28
K1 0.8113 0.1250 0.2500  2 Os 3.28, 2 Cr 3.65
K2 0.9387 0.6250 0.2500  2 Os 3.28, 2 Cr 3.65
K3 0.3750 0.1887 0.7500  2 Os 3.28, 2 Cr 3.65
K4 0.8750 0.0613 0.7500  2 Os 3.28, 2 Cr 3.65
Os1 0.0000 0.0000 0.0000  2 Cr 2.28
Os2 0.7500 0.2500 0.5000  2 Cr 2.28

Summary:
polymorph energy (0 for the lowest one): 0.570 eV/atom
final energy: -0.16269 Ha/atom
energy of formation from the pure elements: 1334.9 meV/atom
DOS at the Fermi energy: 1.24 states/eV/atom

(11)
Material: KCr2Os
Method: DFT, PBE-GGA
State: optimized geometry

Lattice parameters (Å, degrees): 4.4550 4.4550 7.3951 83.37 83.37 37.74
With the nearest neighbours (Å) after each atom.
Fractional positions:
Cr1 0.0053 0.0053 0.0245  3 Os 2.45-2.49, 2 Cr 2.48
Cr2 0.7158 0.7158 0.8614  2 Cr 2.48, 2 Os 2.54
K1 0.5024 0.5024 0.4873  2 K 2.88
Os1 0.2765 0.2765 0.1268  5 Cr 2.45-2.54

Summary:
polymorph energy (0 for the lowest one): 0.132 eV/atom
final energy: -0.25671 Ha/atom
energy of formation from the pure elements: 907.9 meV/atom
DOS at the Fermi energy: 0.69 states/eV/atom

(12)
Material: KCr2Os
Method: DFT, PBE-GGA
State: optimized geometry

Lattice parameters (Å, degrees): 5.3686 5.3686 2.5545 79.77 79.77 111.88
With the nearest neighbours (Å) after each atom.
Fractional positions:
Cr1 0.0000 0.0000 0.0000  2 Cr 2.55, 2 K 2.76, 2 Os 2.76
Cr2 0.5000 0.5000 0.0000  2 Cr 2.55, 2 Os 2.76, 2 K 2.76
K1 0.5000 0.0000 0.5000  2 K 2.55, 4 Cr 2.76
Os1 0.0000 0.5000 0.5000  2 Os 2.55, 4 Cr 2.76

Summary:
polymorph energy (0 for the lowest one): 0.742 eV/atom
final energy: -0.23429 Ha/atom
energy of formation from the pure elements: 1518.0 meV/atom
DOS at the Fermi energy: 1.48 states/eV/atom

(13)
Material: KCr3Os
Method: DFT, PBE-GGA
State: optimized geometry

Lattice parameters (Å, degrees): 4.1307 4.1307 4.1307 90.00 90.00 90.00
With the nearest neighbours (Å) after each atom.
Fractional positions:
Cr1 0.0000 0.5000 0.0000  2 K 2.07
Cr2 0.0000 0.0000 0.5000  2 K 2.07
Cr3 0.5000 0.0000 0.0000  2 K 2.07
K1 0.0000 0.0000 0.0000  6 Cr 2.07
Os1 0.5000 0.5000 0.5000  12 Cr 2.92

Summary:
polymorph energy (0 for the lowest one): 1.740 eV/atom
final energy: -0.19575 Ha/atom
energy of formation from the pure elements: 2912.9 meV/atom
DOS at the Fermi energy: 1.56 states/eV/atom

(14)
Material: KCrOs3
Method: DFT, PBE-GGA
State: optimized geometry

Lattice parameters (Å, degrees): 4.5811 4.5811 4.5811 90.00 90.00 90.00
With the nearest neighbours (Å) after each atom.
Fractional positions:
Cr1 0.0000 0.0000 0.0000  6 Os 2.29
K1 0.5000 0.5000 0.5000  12 Os 3.24
Os1 0.0000 0.5000 0.0000  2 Cr 2.29
Os2 0.0000 0.0000 0.5000  2 Cr 2.29
Os3 0.5000 0.0000 0.0000  2 Cr 2.29

Summary:
polymorph energy (0 for the lowest one): 0.000 eV/atom
final energy: -0.26124 Ha/atom
energy of formation from the pure elements: 1773.4 meV/atom
DOS at the Fermi energy: 1.42 states/eV/atom

(15)
Material: KRbCrOs2
Method: DFT, PBE-GGA
State: optimized geometry

Lattice parameters (Å, degrees): 4.9683 4.8158 4.9683 90.00 90.00 90.00
With the nearest neighbours (Å) after each atom.
Fractional positions:
Cr1 0.0000 0.5000 0.0000  2 Rb 2.41
K1 0.5000 0.5000 0.5000  8 Os 3.46, 4 Cr 3.51
Os1 0.0000 0.0000 0.5000  2 Rb 2.48
Os2 0.5000 0.0000 0.0000  2 Rb 2.48
Rb1 0.0000 0.0000 0.0000  2 Cr 2.41, 4 Os 2.48

Summary:
final energy: -0.11799 Ha/atom
energy of formation from the pure elements: 3619.0 meV/atom
DOS at the Fermi energy: 2.38 states/eV/atom